[1]
DFT (GGA-PBE) results for crystalline MnPdS2 at its relaxed geometry.

Lattice parameters (Å, degrees): 3.2456 3.2456 21.8592 90.00 90.00 120.00
Last column: nearest neighbours and their distance in Å.
Space group R-3m (No. 166, hexagonal axes)
Unique sites:
Mn 0.0000 0.0000 0.0000 [3 per cell]  6 S 2.31
Pd 0.0000 0.0000 0.5000 [3 per cell]  2 S 2.30
S 0.0000 0.0000 0.3950 [6 per cell]  1 Pd 2.30, 3 Mn 2.31

Mass density   5.6 Mg/m³
Formation energy (no corrections)   -0.412 eV/atom
Final energy   -72.80 eV per cell
Crystal system   trigonal
Spin magnetization   2.52 μB/f.u.


[2]
DFT (GGA-PBE) results for crystalline CsYGe3 at its relaxed geometry.

Lattice parameters (Å, degrees): 5.4968 5.4968 5.4968 90.00 90.00 90.00
Last column: nearest neighbours and their distance in Å.
Space group Pm-3m (No. 221)
Unique sites:
Cs 0.0000 0.0000 0.0000 [1 per cell]  6 Ge 2.75
Y 0.5000 0.5000 0.5000 [1 per cell]  12 Ge 3.89
Ge 0.0000 0.0000 0.5000 [3 per cell]  2 Cs 2.75

Mass density   4.4 Mg/m³
Energy of formation   1.449 eV per atom
Energy above the lowest structure with this stoichiometry   1154 meV per atom
Final energy   -13.92 eV per cell
Crystal system   cubic
Spin magnetization   0.00 μB/f.u.


[3]
DFT (GGA-PBE) results for crystalline TmSc3Zn4 at its relaxed geometry.

Lattice parameters (Å, degrees): 4.7848 4.7848 6.8275 90.00 90.00 90.00
Last column: nearest neighbours and their distance in Å.
Space group P4/mmm (No. 123)
Unique sites:
Tm 0.0000 0.0000 0.0000 [1 per cell]  8 Zn 2.98
Sc 0.0000 0.0000 0.5000 [1 per cell]  8 Zn 2.90
Sc 0.5000 0.5000 0.0000 [1 per cell]  8 Zn 2.98
Sc 0.5000 0.5000 0.5000 [1 per cell]  8 Zn 2.90
Zn 0.0000 0.5000 0.2608 [4 per cell]  6 Sc 2.90-2.98, 2 Tm 2.98

Mass density   6.0 Mg/m³
Energy of formation   -0.362 eV per atom
Final energy   -31.46 eV per cell
Crystal system   tetragonal
Spin magnetization   0.00 μB/f.u.


[4]
DFT (GGA-PBE) results for crystalline CsCu3F9 at its relaxed geometry.

Lattice parameters (Å, degrees): 7.4097 7.4097 3.8599 90.00 90.00 120.00
Last column: nearest neighbours and their distance in Å.
Space group P6/mmm (No. 191)
Unique sites:
Cs 0.0000 0.0000 0.0000 [1 per cell]  12 F 3.28
Cu 0.0000 0.5000 0.5000 [3 per cell]  6 F 1.93-1.94
F 0.0000 0.5000 0.0000 [3 per cell]  2 Cu 1.93
F 0.2063 0.4126 0.5000 [6 per cell]  2 Cu 1.94

Mass density   4.5 Mg/m³
Formation energy (no corrections)   -1.706 eV/atom
Final energy   -52.16 eV per cell
Crystal system   hexagonal
Spin magnetization   0.00 μB/f.u.


Q: The lowest mass density belongs to which entry?
A: CsYGe3


Q: Look up the mass density of the second one.
A: 4.4 Mg/m³